Record 1
A plane-wave DFT calculation with PBE-GGA was carried out for RbVHg3 after structural relaxation.

Calculated values
E_form: 0.16 eV/atom

Unit cell a=5.4852 b=5.4852 c=5.4852 alpha=90.00 beta=90.00 gamma=90.00
Closest atoms and distances in Å follow each position.
Positions (direct):
Hg (0.0000, 0.5000, 0.0000)  2 V 2.74
V (0.0000, 0.0000, 0.0000)  6 Hg 2.74
Rb (0.5000, 0.5000, 0.5000)  12 Hg 3.88
Hg (0.0000, 0.0000, 0.5000)  2 V 2.74
Hg (0.5000, 0.0000, 0.0000)  2 V 2.74

Record 2
A plane-wave DFT calculation with PBE-GGA was carried out for RbVHg3 after structural relaxation.

Calculated values
E_form: 1.03 eV/atom

Unit cell a=6.4638 b=6.4638 c=6.4638 alpha=90.00 beta=90.00 gamma=90.00
Closest atoms and distances in Å follow each position.
Positions (direct):
Rb (0.0000, 0.0000, 0.0000)  6 Hg 3.23
Hg (0.5000, 0.0000, 0.0000)  2 Rb 3.23
Hg (0.0000, 0.5000, 0.0000)  2 Rb 3.23
V (0.5000, 0.5000, 0.5000)  12 Hg 4.57
Hg (0.0000, 0.0000, 0.5000)  2 Rb 3.23

Record 3
A plane-wave DFT calculation with PBE-GGA was carried out for Rb2YVHg after structural relaxation.

Calculated values
E_form: 1.29 eV/atom

Unit cell a=6.4072 b=5.9809 c=6.4072 alpha=90.00 beta=90.00 gamma=90.00
Closest atoms and distances in Å follow each position.
Positions (direct):
V (0.5000, 0.5000, 0.5000)  8 Rb 4.38, 4 Y 4.53
Rb (0.0000, 0.0000, 0.5000)  2 Hg 3.20
Rb (0.5000, 0.0000, 0.0000)  2 Hg 3.20
Hg (0.0000, 0.0000, 0.0000)  2 Y 2.99, 4 Rb 3.20
Y (0.0000, 0.5000, 0.0000)  2 Hg 2.99

Record 4
A plane-wave DFT calculation with PBE-GGA was carried out for Rb2YVHg after structural relaxation.

Calculated values
E_form: 0.93 eV/atom

Unit cell a=7.0639 b=5.6187 c=7.0639 alpha=90.00 beta=90.00 gamma=90.00
Closest atoms and distances in Å follow each position.
Positions (direct):
Rb (0.0000, 0.0000, 0.5000)  2 V 3.53
V (0.0000, 0.0000, 0.0000)  2 Y 2.81
Rb (0.5000, 0.0000, 0.0000)  2 V 3.53
Hg (0.5000, 0.5000, 0.5000)  8 Rb 4.51, 4 Y 4.99
Y (0.0000, 0.5000, 0.0000)  2 V 2.81

no.,excess energy over the best structure of this formula in the dataset (meV per atom),DOS at the Fermi energy (states/eV per cell)
1,0.0,3.5
2,867.1,8.1
3,361.2,11.7
4,0.0,5.4